Version A
YFeBAu | PBE | relaxed

Its space-group type is F-43m.

abc: 6.443 6.443 6.443
angles: 90.00 90.00 90.00
Sites, in units of the cell vectors:
1 Y 0.000 0.000 0.000
2 Y 0.000 0.500 0.500
3 Y 0.500 0.000 0.500
4 Y 0.500 0.500 0.000
5 Fe 0.000 0.000 0.500
6 Fe 0.000 0.500 0.000
7 Fe 0.500 0.000 0.000
8 Fe 0.500 0.500 0.500
9 B 0.250 0.250 0.250
10 B 0.250 0.750 0.750
11 B 0.750 0.250 0.750
12 B 0.750 0.750 0.250
13 Au 0.250 0.250 0.750
14 Au 0.250 0.750 0.250
15 Au 0.750 0.250 0.250
16 Au 0.750 0.750 0.750



Version B
YFeBAu | PBE | relaxed

Its space-group type is F-43m.

abc: 6.382 6.382 6.382
angles: 90.00 90.00 90.00
Sites, in units of the cell vectors:
1 Y 0.000 0.000 0.000
2 Y 0.000 0.500 0.500
3 Y 0.500 0.000 0.500
4 Y 0.500 0.500 0.000
5 Fe 0.250 0.250 0.750
6 Fe 0.250 0.750 0.250
7 Fe 0.750 0.250 0.250
8 Fe 0.750 0.750 0.750
9 B 0.000 0.000 0.500
10 B 0.000 0.500 0.000
11 B 0.500 0.000 0.000
12 B 0.500 0.500 0.500
13 Au 0.250 0.250 0.250
14 Au 0.250 0.750 0.750
15 Au 0.750 0.250 0.750
16 Au 0.750 0.750 0.250



Of them, version B has the lowest stability.



Version A
ZrFeBAu | PBE | relaxed

Its space-group type is F-43m.

abc: 6.229 6.229 6.229
angles: 90.00 90.00 90.00
Sites, in units of the cell vectors:
1 Zr 0.000 0.000 0.000
2 Zr 0.000 0.500 0.500
3 Zr 0.500 0.000 0.500
4 Zr 0.500 0.500 0.000
5 Fe 0.000 0.000 0.500
6 Fe 0.000 0.500 0.000
7 Fe 0.500 0.000 0.000
8 Fe 0.500 0.500 0.500
9 B 0.250 0.250 0.250
10 B 0.250 0.750 0.750
11 B 0.750 0.250 0.750
12 B 0.750 0.750 0.250
13 Au 0.250 0.250 0.750
14 Au 0.250 0.750 0.250
15 Au 0.750 0.250 0.250
16 Au 0.750 0.750 0.750



Version B
ZrFeBAu | PBE | relaxed

Its space-group type is F-43m.

abc: 6.180 6.180 6.180
angles: 90.00 90.00 90.00
Sites, in units of the cell vectors:
1 Zr 0.000 0.000 0.000
2 Zr 0.000 0.500 0.500
3 Zr 0.500 0.000 0.500
4 Zr 0.500 0.500 0.000
5 Fe 0.250 0.250 0.750
6 Fe 0.250 0.750 0.250
7 Fe 0.750 0.250 0.250
8 Fe 0.750 0.750 0.750
9 B 0.000 0.000 0.500
10 B 0.000 0.500 0.000
11 B 0.500 0.000 0.000
12 B 0.500 0.500 0.500
13 Au 0.250 0.250 0.250
14 Au 0.250 0.750 0.750
15 Au 0.750 0.250 0.750
16 Au 0.750 0.750 0.250



Of them, version B has the lowest stability.



Version A
RbGaBAu | PBE | relaxed

Its space-group type is F-43m.

abc: 6.905 6.905 6.905
angles: 90.00 90.00 90.00
Sites, in units of the cell vectors:
1 Rb 0.000 0.000 0.000
2 Rb 0.000 0.500 0.500
3 Rb 0.500 0.000 0.500
4 Rb 0.500 0.500 0.000
5 Ga 0.250 0.250 0.250
6 Ga 0.250 0.750 0.750
7 Ga 0.750 0.250 0.750
8 Ga 0.750 0.750 0.250
9 B 0.250 0.250 0.750
10 B 0.250 0.750 0.250
11 B 0.750 0.250 0.250
12 B 0.750 0.750 0.750
13 Au 0.000 0.000 0.500
14 Au 0.000 0.500 0.000
15 Au 0.500 0.000 0.000
16 Au 0.500 0.500 0.500



Version B
RbGaBAu | PBE | relaxed

Its space-group type is F-43m.

abc: 7.118 7.118 7.118
angles: 90.00 90.00 90.00
Sites, in units of the cell vectors:
1 Rb 0.000 0.000 0.000
2 Rb 0.000 0.500 0.500
3 Rb 0.500 0.000 0.500
4 Rb 0.500 0.500 0.000
5 Ga 0.250 0.250 0.250
6 Ga 0.250 0.750 0.750
7 Ga 0.750 0.250 0.750
8 Ga 0.750 0.750 0.250
9 B 0.000 0.000 0.500
10 B 0.000 0.500 0.000
11 B 0.500 0.000 0.000
12 B 0.500 0.500 0.500
13 Au 0.250 0.250 0.750
14 Au 0.250 0.750 0.250
15 Au 0.750 0.250 0.250
16 Au 0.750 0.750 0.750



Of them, version B has the lowest stability.



Version A
GeB4Au | PBE | relaxed

Its space-group type is Immm.

abc: 3.093 5.295 7.795
angles: 90.00 90.00 90.00
Sites, in units of the cell vectors:
1 Ge 0.000 0.000 0.000
2 Ge 0.500 0.500 0.500
3 B 0.000 0.330 0.258
4 B 0.000 0.330 0.742
5 B 0.000 0.670 0.258
6 B 0.000 0.670 0.742
7 B 0.500 0.170 0.242
8 B 0.500 0.170 0.758
9 B 0.500 0.830 0.242
10 B 0.500 0.830 0.758
11 Au 0.000 0.000 0.500
12 Au 0.500 0.500 0.000



Version B
GeB4Au | PBE | relaxed

Its space-group type is P6/mmm.

abc: 3.047 3.047 7.869
angles: 90.00 90.00 120.00
Sites, in units of the cell vectors:
1 Ge 0.000 0.000 0.000
2 B 0.333 0.667 0.235
3 B 0.333 0.667 0.765
4 B 0.667 0.333 0.235
5 B 0.667 0.333 0.765
6 Au 0.000 0.000 0.500



Of them, version A has the lowest stability.



Version A
NiGeBAu | PBE | relaxed

Its space-group type is F-43m.

abc: 5.965 5.965 5.965
angles: 90.00 90.00 90.00
Sites, in units of the cell vectors:
1 Ni 0.000 0.000 0.000
2 Ni 0.000 0.500 0.500
3 Ni 0.500 0.000 0.500
4 Ni 0.500 0.500 0.000
5 Ge 0.250 0.250 0.250
6 Ge 0.250 0.750 0.750
7 Ge 0.750 0.250 0.750
8 Ge 0.750 0.750 0.250
9 B 0.250 0.250 0.750
10 B 0.250 0.750 0.250
11 B 0.750 0.250 0.250
12 B 0.750 0.750 0.750
13 Au 0.000 0.000 0.500
14 Au 0.000 0.500 0.000
15 Au 0.500 0.000 0.000
16 Au 0.500 0.500 0.500



Version B
NiGeBAu | PBE | relaxed

Its space-group type is F-43m.

abc: 6.001 6.001 6.001
angles: 90.00 90.00 90.00
Sites, in units of the cell vectors:
1 Ni 0.000 0.000 0.000
2 Ni 0.000 0.500 0.500
3 Ni 0.500 0.000 0.500
4 Ni 0.500 0.500 0.000
5 Ge 0.250 0.250 0.250
6 Ge 0.250 0.750 0.750
7 Ge 0.750 0.250 0.750
8 Ge 0.750 0.750 0.250
9 B 0.000 0.000 0.500
10 B 0.000 0.500 0.000
11 B 0.500 0.000 0.000
12 B 0.500 0.500 0.500
13 Au 0.250 0.250 0.750
14 Au 0.250 0.750 0.250
15 Au 0.750 0.250 0.250
16 Au 0.750 0.750 0.750



Of them, version B has the lowest stability.



Version A
NiHgBAu | PBE | relaxed

Its space-group type is F-43m.

abc: 6.155 6.155 6.155
angles: 90.00 90.00 90.00
Sites, in units of the cell vectors:
1 Ni 0.000 0.000 0.000
2 Ni 0.000 0.500 0.500
3 Ni 0.500 0.000 0.500
4 Ni 0.500 0.500 0.000
5 Hg 0.250 0.250 0.250
6 Hg 0.250 0.750 0.750
7 Hg 0.750 0.250 0.750
8 Hg 0.750 0.750 0.250
9 B 0.000 0.000 0.500
10 B 0.000 0.500 0.000
11 B 0.500 0.000 0.000
12 B 0.500 0.500 0.500
13 Au 0.250 0.250 0.750
14 Au 0.250 0.750 0.250
15 Au 0.750 0.250 0.250
16 Au 0.750 0.750 0.750



Version B
NiHgBAu | PBE | relaxed

Its space-group type is F-43m.

abc: 6.230 6.230 6.230
angles: 90.00 90.00 90.00
Sites, in units of the cell vectors:
1 Ni 0.000 0.000 0.000
2 Ni 0.000 0.500 0.500
3 Ni 0.500 0.000 0.500
4 Ni 0.500 0.500 0.000
5 Hg 0.000 0.000 0.500
6 Hg 0.000 0.500 0.000
7 Hg 0.500 0.000 0.000
8 Hg 0.500 0.500 0.500
9 B 0.250 0.250 0.750
10 B 0.250 0.750 0.250
11 B 0.750 0.250 0.250
12 B 0.750 0.750 0.750
13 Au 0.250 0.250 0.250
14 Au 0.250 0.750 0.750
15 Au 0.750 0.250 0.750
16 Au 0.750 0.750 0.250



Of them, version B has the lowest stability.